This record from Alexandria via LeMat-Bulk describes an optimized crystal structure of VGeMoPt. The functional is PBE.

Unit cell a=4.377 b=4.377 c=4.377 alpha=60.00 beta=60.00 gamma=60.00
Site moments in Bohr magnetons follow the coordinates.
Positions (direct):
Mo 0.000 0.000 0.000  -0.23
Ge 0.250 0.250 0.250  0.00
Pt 0.500 0.500 0.500  0.13
V 0.750 0.750 0.750  1.03

Density, Mg/m³: 11.6
Magnetic moment, μB per cell: 1.032
Symmetry: F-43m
Energy of formation from the pure elements, meV per atom: -149
Crystal system: cubic

***

This record from Alexandria via LeMat-Bulk describes an optimized crystal structure of Pu2GeMo. The functional is PBE.

Unit cell a=5.216 b=3.582 c=3.582 alpha=90.00 beta=90.00 gamma=90.00
Site moments in Bohr magnetons follow the coordinates.
Positions (direct):
Mo 0.500 0.000 0.000  -0.02
Ge 0.500 0.500 0.500  -0.01
Pu 0.000 0.000 0.500  0.27
Pu 0.000 0.500 0.000  0.27

Density, Mg/m³: 16.3
Magnetic moment, μB per cell: 0.492
Symmetry: P4/mmm
Energy of formation from the pure elements, meV per atom: 231
Crystal system: tetragonal
Excess energy over the best structure of this formula in the dataset, meV/atom: 310

***

This record from Alexandria via LeMat-Bulk describes an optimized crystal structure of PuGe2Mo. The functional is PBE.

Unit cell a=3.313 b=3.313 c=6.711 alpha=90.00 beta=90.00 gamma=90.00
Site moments in Bohr magnetons follow the coordinates.
Positions (direct):
Mo 0.500 0.500 0.000  -0.22
Ge 0.000 0.000 0.798  -0.03
Ge 0.000 0.000 0.202  -0.03
Pu 0.500 0.500 0.500  5.40

Density, Mg/m³: 10.9
Magnetic moment, μB per cell: 5.408
Symmetry: P4/mmm
Energy of formation from the pure elements, meV per atom: -204
Crystal system: tetragonal